Density functional theory data (PBE) for AlPd after structural relaxation.

a = 5.608 Å, b = 5.608 Å, c = 5.608 Å
α = 90.00°, β = 90.00°, γ = 90.00°
Fractional positions:
1 Al 0.750 0.750 0.250
2 Al 0.250 0.750 0.750
3 Pd 0.000 0.500 0.500
4 Al 0.750 0.250 0.750
5 Pd 0.500 0.000 0.500
6 Al 0.250 0.250 0.250
7 Pd 0.500 0.500 0.000
8 Pd 0.000 0.000 0.000

Density: 5.02 Mg/m³
Spin magnetization: 0.0 μB per formula unit
Crystal system: cubic
Energy relative to the elements: -0.0928 eV/atom
DOS at the Fermi energy: 1.7 states/eV/cell